This record from Alexandria via LeMat-Bulk describes a geometry-optimized BaTbCu2Se4 structure. The functional is GGA-PBE.

```
BaTbCu2Se4
1.0
6.996 0.000 0.000
0.000 6.996 0.000
0.000 0.000 8.625
Ba Tb Cu Se
2 2 4 8
direct
0.000 0.000 0.000
0.500 0.500 0.500
0.000 0.000 0.500
0.500 0.500 0.000
0.000 0.500 0.250
0.000 0.500 0.750
0.500 0.000 0.250
0.500 0.000 0.750
0.218 0.218 0.295
0.218 0.782 0.705
0.282 0.282 0.795
0.282 0.718 0.205
0.718 0.282 0.205
0.718 0.718 0.795
0.782 0.218 0.705
0.782 0.782 0.295
```

Summary:
Uncorrected formation energy (meV/atom): -1025
Total magnetic moment (μB per cell): 0.00
Energy (eV/atom): -4.61